1.
First-principles (PBE-GGA) data for a relaxed structure of Tb3Pm2NdS6, as listed in the Alexandria database.

Values from the calculation:
Calculated total energy in Ry/atom: -0.4731
Formation energy from raw total energies in meV/atom: -2026
Symmetry: C2/m (12)
Crystal system: monoclinic

```
data_Tb3Pm2NdS6
_chemical_formula_sum 'Tb3 Pm2 Nd1 S6'
_symmetry_space_group_name_H-M 'P 1'
_symmetry_Int_Tables_number 1
_cell_length_a 6.891
_cell_length_b 6.891
_cell_length_c 6.937
_cell_angle_alpha 99.50
_cell_angle_beta 99.50
_cell_angle_gamma 120.18
loop_
_symmetry_equiv_pos_as_xyz
'x,y,z'
loop_
_atom_site_label
_atom_site_fract_x
_atom_site_fract_y
_atom_site_fract_z
S1 0.422 0.087 0.261
S2 0.913 0.578 0.739
S3 0.087 0.422 0.261
S4 0.578 0.913 0.739
S5 0.248 0.248 0.739
S6 0.752 0.752 0.261
Nd1 0.000 0.000 0.000
Tb1 0.500 0.500 0.500
Tb2 0.166 0.834 0.500
Tb3 0.834 0.166 0.500
Pm1 0.333 0.667 0.000
Pm2 0.667 0.333 0.000
```

2.
First-principles (PBE-GGA) data for a relaxed structure of AcPaCo4, as listed in the Alexandria database.

Values from the calculation:
E_form in eV/atom: -0.02
Calculated total energy in Ry/atom: -0.5160
Symmetry: F-43m (216)
Crystal system: cubic

```
data_AcPaCo4
_chemical_formula_sum 'Ac1 Pa1 Co4'
_symmetry_space_group_name_H-M 'P 1'
_symmetry_Int_Tables_number 1
_cell_length_a 5.105
_cell_length_b 5.105
_cell_length_c 5.105
_cell_angle_alpha 60.00
_cell_angle_beta 60.00
_cell_angle_gamma 60.00
loop_
_symmetry_equiv_pos_as_xyz
'x,y,z'
loop_
_atom_site_label
_atom_site_fract_x
_atom_site_fract_y
_atom_site_fract_z
Co1 0.121 0.626 0.626
Co2 0.626 0.626 0.626
Co3 0.626 0.626 0.121
Co4 0.626 0.121 0.626
Pa1 0.000 0.000 0.000
Ac1 0.250 0.250 0.250
```